First-principles (GGA-PBE) data for CaCd3Pt3 after structural relaxation, as listed in Alexandria via LeMat-Bulk.

Output
ΔH_f (0 K) ... 1.2 eV/f.u.
E_tot ... -3.098 eV/atom
Magnetization ... 0.00 μB/f.u.

a = 7.382 Å, b = 7.382 Å, c = 7.382 Å
α = 90.00°, β = 90.00°, γ = 90.00°
Fractional positions:
Ca (0.000, 0.000, 0.000)
Ca (0.500, 0.500, 0.500)
Cd (0.000, 0.250, 0.500)
Cd (0.000, 0.750, 0.500)
Cd (0.250, 0.500, 0.000)
Cd (0.500, 0.000, 0.250)
Cd (0.500, 0.000, 0.750)
Cd (0.750, 0.500, 0.000)
Pt (0.000, 0.500, 0.250)
Pt (0.000, 0.500, 0.750)
Pt (0.250, 0.000, 0.500)
Pt (0.500, 0.250, 0.000)
Pt (0.500, 0.750, 0.000)
Pt (0.750, 0.000, 0.500)